(1)
The following is a DFT calculation (meta-GGA SCAN) of a crystal of Tc2RuW relaxed with PBEsol.

```
Tc2RuW
1.0
2.721 0.000 0.000
1.360 2.356 0.000
1.360 0.785 8.946
Tc W Ru
2 1 1
Direct
0.747 0.747 0.759
0.253 0.253 0.241
0.500 0.500 0.500
0.000 0.000 0.000
```

Output
Raw total energy in eV/atom: -43.4705
Energy above the most stable polymorph in this dataset in meV/atom: 125
DFT formation energy in eV/atom: 0.188



(2)
The following is a DFT calculation (meta-GGA SCAN) of a crystal of TcRu2W relaxed with PBEsol.

```
TcRu2W
1.0
3.839 0.000 0.000
0.000 3.839 0.000
-1.919 -1.919 3.819
W Tc Ru
1 1 2
Direct
0.500 0.500 0.000
0.000 0.000 0.000
0.750 0.250 0.500
0.250 0.750 0.500
```

Output
Raw total energy in eV/atom: -43.5743
Energy above the most stable polymorph in this dataset in meV/atom: 11
DFT formation energy in eV/atom: 0.026



(3)
The following is a DFT calculation (meta-GGA SCAN) of a crystal of Tc2RuW relaxed with PBEsol.

```
Tc2RuW
1.0
-1.947 -1.625 -0.996
2.677 -0.890 -3.781
2.357 -2.515 3.222
Ru W Tc
1 1 2
Direct
0.000 0.500 0.000
0.500 0.000 0.000
0.256 0.262 0.513
0.744 0.738 0.487
```

Output
Raw total energy in eV/atom: -43.5760
Energy above the most stable polymorph in this dataset in meV/atom: 19
DFT formation energy in eV/atom: 0.083